First-principles (GGA-PBEsol) data for a geometry-optimized KFeIr2 structure, as listed in Alexandria.

The space group is P4/mmm (No. 123) and the conventional cell measures 2.717, 2.717 and 8.738 Å, with angles of 90.00, 90.00 and 90.00 degrees. Symmetry generates all atoms from K at (0.000, 0.000, 0.000), Fe at (0.000, 0.000, 0.500) and Ir at (0.500, 0.500, 0.314).

The energy relative to the elements is 472 meV per atom. The final energy comes out at -6.96 eV per atom. Its crystal system is tetragonal.